The following is a PBE calculation of a geometry-optimized TmOF structure, from the Alexandria database. Values from VASP.

Quantum ESPRESSO input file:
```
&SYSTEM
  ibrav = 0, nat = 6, ntyp = 3
/
ATOMIC_SPECIES
F 19.00 F.upf
O 16.00 O.upf
Tm 168.93 Tm.upf
ATOMIC_POSITIONS crystal
F 0.2500 0.3051 0.3898
F 0.7500 0.6949 0.6102
O 0.7500 0.9227 0.1547
O 0.2500 0.0773 0.8453
Tm 0.7500 0.5981 0.8037
Tm 0.2500 0.4019 0.1963
CELL_PARAMETERS angstrom
-2.6594 1.7702 0.4372
-0.7983 -1.8158 2.4964
4.6048 5.1300 7.2402
```

Computed properties:
calculated volume: 16.9 Å³ per atom
SG: Cmcm, No. 63
formation energy without anion corrections: -3.2670 eV/atom
D(E_F): 0.00 states/eV per atom